(1)
# TcB2 (GGA-PBE, relaxed)
# Theoretical density = 7.413 g/cm3
# Energy of formation from the pure elements = 0.254 eV per atom
# Crystal system = tetragonal
# Polymorph energy (0 for the lowest one) = 0.692 eV/atom
# Size of the total moment = 0.0 μB per cell
# Total DFT energy (no corrections) = -23.0 eV per formula unit
data_TcB2
_chemical_formula_sum 'Tc2 B4'
_space_group_name_H-M_alt 'I 4/m m m'
_space_group_IT_number 139
_space_group_name_Hall '-I 4 2'
_cell_length_a 2.739
_cell_length_b 2.739
_cell_length_c 7.142
_cell_angle_alpha 90.00
_cell_angle_beta 90.00
_cell_angle_gamma 90.00
loop_
_atom_site_label
_atom_site_type_symbol
_atom_site_fract_x
_atom_site_fract_y
_atom_site_fract_z
Tc1 Tc 0.000 0.000 0.000
B1 B 0.000 0.000 0.314

(2)
# AlBr2N (GGA-PBE, relaxed)
# Formation energy without anion corrections = 1.086 eV/atom
# Theoretical density = 4.152 g/cm3
# Crystal system = cubic
# Polymorph energy (0 for the lowest one) = 1.120 eV/atom
# Size of the total moment = 8.5 μB per cell
# Total DFT energy (no corrections) = -11.1 eV per formula unit
data_AlBr2N
_chemical_formula_sum 'Al4 Br8 N4'
_space_group_name_H-M_alt 'F m -3 m'
_space_group_IT_number 225
_space_group_name_Hall '-F 4 2 3'
_cell_length_a 6.848
_cell_length_b 6.848
_cell_length_c 6.848
_cell_angle_alpha 90.00
_cell_angle_beta 90.00
_cell_angle_gamma 90.00
loop_
_atom_site_label
_atom_site_type_symbol
_atom_site_fract_x
_atom_site_fract_y
_atom_site_fract_z
Al1 Al 0.000 0.000 0.000
Br1 Br 0.250 0.250 0.250
N1 N 0.000 0.000 0.500

Which value of polymorph energy (0 for the lowest one) does entry 2 give?
1.120 eV/atom

Which of these has the lowest polymorph energy (0 for the lowest one)?
TcB2

The lowest theoretical density belongs to which entry?
AlBr2N